Here is a relaxed structure of PmAg2SnSe4 from the Alexandria database. Energies are from GGA-PBE.

Output
Electronic total energy in eV for the cell shown: -34.05

Lattice parameters (Å, degrees): 6.897 4.188 7.273 90.00 110.44 90.00
Space group P2/m (No. 10)
Asymmetric unit:
1 Pm 0.000 0.000 0.000
2 Ag 0.500 0.000 0.500
3 Ag 0.500 0.500 0.000
4 Sn 0.000 0.500 0.500
5 Se 0.253 0.500 0.257
6 Se 0.259 0.000 0.749